## TbMgSiAg (PBE-GGA)

Data for a geometry-optimized TbMgSiAg structure.

Unit cell a=4.879 b=4.879 c=4.879 alpha=60.00 beta=60.00 gamma=60.00
Atoms (fractional coordinates):
Si 0.750 0.750 0.750
Tb 0.000 0.000 0.000
Mg 0.500 0.500 0.500
Ag 0.250 0.250 0.250

Properties
E_form (uncorrected): -325 meV/atom